1.
Entry from Alexandria via LeMat-Bulk: MnTc2Se at its PBEsol-relaxed geometry (SCAN).

Lattice parameters (Å, degrees): 2.8719 2.8719 6.3981 90.00 90.00 90.00
With the nearest neighbours (Å) after each atom.
Positions (direct):
Mn 0.0000 0.0000 0.5216  4 Se 2.43, 4 Tc 2.65
Se 0.5000 0.5000 0.7293  4 Mn 2.43, 4 Tc 2.64
Tc 0.0000 0.0000 0.9936  8 Tc 2.63-2.87, 4 Se 2.64
Tc 0.5000 0.5000 0.2555  8 Tc 2.63-2.87, 4 Mn 2.65

Calculated values
Calculated density (g/cm³): 10.4
Formation energy from raw total energies (eV per atom): 0.20

2.
Entry from Alexandria via LeMat-Bulk: MnTc2Se at its PBEsol-relaxed geometry (SCAN).

Lattice parameters (Å, degrees): 2.9365 4.2723 4.2922 90.00 90.00 90.00
With the nearest neighbours (Å) after each atom.
Positions (direct):
Mn 0.5000 0.5000 0.0000  4 Tc 2.59, 4 Se 2.60
Se 0.0000 0.5000 0.5000  4 Tc 2.59, 4 Mn 2.60
Tc 0.0000 0.0000 0.0000  4 Mn 2.59, 4 Tc 2.60
Tc 0.5000 0.0000 0.5000  4 Se 2.59, 4 Tc 2.60

Calculated values
Calculated density (g/cm³): 10.2
Formation energy from raw total energies (eV per atom): 0.33

3.
Entry from Alexandria via LeMat-Bulk: MnTc2Se at its PBEsol-relaxed geometry (SCAN).

Lattice parameters (Å, degrees): 2.7228 2.7228 8.4079 90.00 90.00 111.36
With the nearest neighbours (Å) after each atom.
Positions (direct):
Mn 0.0000 0.0000 0.5037  2 Se 2.52, 2 Tc 2.54, 4 Mn 2.72
Se 0.5000 0.5000 0.2667  2 Mn 2.52, 4 Se 2.72
Tc 0.0000 0.0000 0.9852  6 Tc 2.54-2.72, 2 Se 2.82
Tc 0.5000 0.5000 0.7444  2 Mn 2.54, 6 Tc 2.54-2.72

Calculated values
Calculated density (g/cm³): 9.4
Formation energy from raw total energies (eV per atom): 0.34

4.
Entry from Alexandria via LeMat-Bulk: MnTcSe at its PBEsol-relaxed geometry (SCAN).

Lattice parameters (Å, degrees): 2.9798 4.1221 4.1221 120.00 90.00 90.00
With the nearest neighbours (Å) after each atom.
Positions (direct):
Mn 0.5000 0.0000 0.0000  6 Se 2.81, 6 Tc 2.81, 2 Mn 2.98
Se 0.0000 0.6667 0.3333  3 Tc 2.38
Tc 0.0000 0.3333 0.6667  3 Se 2.38

Calculated values
Calculated density (g/cm³): 8.8
Formation energy from raw total energies (eV per atom): 0.04

5.
Entry from Alexandria via LeMat-Bulk: MnTc2Se at its PBEsol-relaxed geometry (SCAN).

Lattice parameters (Å, degrees): 2.8897 4.4088 4.6367 94.79 108.16 90.00
With the nearest neighbours (Å) after each atom.
Positions (direct):
Mn 0.4901 0.5050 0.9803  1 Se 2.42, 3 Tc 2.56-2.65
Se 0.2452 0.7158 0.4905  1 Mn 2.42, 3 Tc 2.52-2.57
Tc 0.0132 0.0307 0.0265  4 Mn 2.56-2.72, 1 Se 2.57, 3 Tc 2.58-2.66
Tc 0.7514 0.2485 0.5028  4 Se 2.52-2.75, 3 Tc 2.58-2.66, 3 Mn 2.65-2.72

Calculated values
Calculated density (g/cm³): 9.8
Formation energy from raw total energies (eV per atom): 0.17

6.
Entry from Alexandria via LeMat-Bulk: Mn2TeSe at its PBEsol-relaxed geometry (SCAN).

Lattice parameters (Å, degrees): 3.8385 3.5561 7.2207 90.00 90.00 122.66
With the nearest neighbours (Å) after each atom.
Positions (direct):
Mn 0.0000 0.0000 0.7268  2 Se 2.52, 2 Te 2.75
Mn 0.0000 0.0000 0.2732  2 Se 2.52, 2 Te 2.75
Se 0.5000 0.0000 0.5000  4 Mn 2.52
Te 0.5000 0.0000 0.0000  4 Mn 2.75

Calculated values
Calculated density (g/cm³): 6.3
Formation energy from raw total energies (eV per atom): -0.27

7.
Entry from Alexandria via LeMat-Bulk: Mn2TeSe at its PBEsol-relaxed geometry (SCAN).

Lattice parameters (Å, degrees): 3.8029 3.8029 6.6373 73.35 73.35 60.00
With the nearest neighbours (Å) after each atom.
Positions (direct):
Mn 0.2408 0.2408 0.2776  3 Se 2.60, 3 Te 2.80
Mn 0.7592 0.7592 0.7224  3 Se 2.60, 3 Te 2.80
Te 0.0000 0.0000 0.0000  6 Mn 2.80
Se 0.5000 0.5000 0.5000  6 Mn 2.60

Calculated values
Calculated density (g/cm³): 6.7
Formation energy from raw total energies (eV per atom): -0.60

8.
Entry from Alexandria via LeMat-Bulk: Mn2TeSe at its PBEsol-relaxed geometry (SCAN).

Lattice parameters (Å, degrees): 3.8471 3.8471 5.4513 90.00 90.00 90.01
With the nearest neighbours (Å) after each atom.
Positions (direct):
Mn 0.1267 0.8733 0.0000  4 Se 2.72, 2 Te 2.73
Mn 0.6280 0.3720 0.5000  4 Te 2.72, 2 Se 2.73
Se 0.6271 0.3729 0.0000  6 Mn 2.72-2.73
Te 0.1279 0.8721 0.5000  6 Mn 2.72-2.73

Calculated values
Calculated density (g/cm³): 6.5
Formation energy from raw total energies (eV per atom): -0.60

9.
Entry from Alexandria via LeMat-Bulk: MnTe2Se at its PBEsol-relaxed geometry (SCAN).

Lattice parameters (Å, degrees): 3.8984 3.8984 7.8809 104.32 104.32 90.00
With the nearest neighbours (Å) after each atom.
Positions (direct):
Mn 0.5000 0.5000 0.0000  4 Te 2.76
Se 0.2500 0.7500 0.5000  4 Te 2.76
Te 0.0000 0.0000 0.0000  4 Mn 2.76
Te 0.7500 0.2500 0.5000  4 Se 2.76

Calculated values
Calculated density (g/cm³): 5.8
Formation energy from raw total energies (eV per atom): -0.04

10.
Entry from Alexandria via LeMat-Bulk: Mn2TeSe at its PBEsol-relaxed geometry (SCAN).

Lattice parameters (Å, degrees): 3.8091 5.1818 5.1818 76.24 68.44 68.44
With the nearest neighbours (Å) after each atom.
Positions (direct):
Mn 0.2742 0.7258 0.7258  2 Se 2.51, 2 Te 2.75
Mn 0.7258 0.2742 0.2742  2 Se 2.51, 2 Te 2.75
Se 0.0000 0.5000 0.5000  4 Mn 2.51
Te 0.5000 0.0000 0.0000  4 Mn 2.75

Calculated values
Calculated density (g/cm³): 6.0
Formation energy from raw total energies (eV per atom): -0.31

11.
Entry from Alexandria via LeMat-Bulk: Mn2TeSe at its PBEsol-relaxed geometry (SCAN).

Lattice parameters (Å, degrees): 3.3153 3.3153 6.6860 90.00 90.00 90.00
With the nearest neighbours (Å) after each atom.
Positions (direct):
Mn 0.0000 0.0000 0.0263  1 Se 2.43, 4 Te 2.66
Mn 0.5000 0.5000 0.2458  4 Se 2.53, 1 Te 2.72, 4 Mn 2.77
Te 0.5000 0.5000 0.8384  5 Mn 2.66-2.72
Se 0.0000 0.0000 0.3895  5 Mn 2.43-2.53

Calculated values
Calculated density (g/cm³): 7.2
Formation energy from raw total energies (eV per atom): -0.40

12.
Entry from Alexandria via LeMat-Bulk: MnTe4Se at its PBEsol-relaxed geometry (SCAN).

Lattice parameters (Å, degrees): 6.1442 6.1442 6.1442 60.00 60.00 60.00
With the nearest neighbours (Å) after each atom.
Positions (direct):
Mn 0.7500 0.7500 0.7500  12 Te 3.60, 4 Se 3.76
Se 0.0000 0.0000 0.0000  12 Te 3.60, 4 Mn 3.76
Te 0.3747 0.3747 0.3747  6 Te 3.06-3.08
Te 0.3747 0.3747 0.8760  6 Te 3.06-3.08
Te 0.8760 0.3747 0.3747  6 Te 3.06-3.08
Te 0.3747 0.8760 0.3747  6 Te 3.06-3.08

Calculated values
Calculated density (g/cm³): 6.5
Formation energy from raw total energies (eV per atom): 0.56

Repeat the sixth record exactly.
Entry from Alexandria via LeMat-Bulk: Mn2TeSe at its PBEsol-relaxed geometry (SCAN).

Lattice parameters (Å, degrees): 3.8385 3.5561 7.2207 90.00 90.00 122.66
With the nearest neighbours (Å) after each atom.
Positions (direct):
Mn 0.0000 0.0000 0.7268  2 Se 2.52, 2 Te 2.75
Mn 0.0000 0.0000 0.2732  2 Se 2.52, 2 Te 2.75
Se 0.5000 0.0000 0.5000  4 Mn 2.52
Te 0.5000 0.0000 0.0000  4 Mn 2.75

Calculated values
Calculated density (g/cm³): 6.3
Formation energy from raw total energies (eV per atom): -0.27

Question: calculated density of number 4 (MnTcSe)?
Answer: 8.8 g/cm³